Record 1
This record from OQMD via LeMat-Bulk describes a geometry-optimized ScCuSbOs structure. The functional is GGA-PBE.

POSCAR file:
```
ScCuSbOs
1.0
0.000 3.246 3.246
3.246 0.000 3.246
3.246 3.246 0.000
Sc Cu Sb Os
1 1 1 1
direct
0.000 0.000 0.000
0.500 0.500 0.500
0.250 0.250 0.250
0.750 0.750 0.750
```

## Properties
total moment: 0.00 μB per cell
energy relative to the lowest polymorph listed for this composition: 0.288 eV per atom
density: 10.21 Mg/m³
SG: No. 216
raw total energy: -6.173 eV per atom



Record 2
This record from OQMD via LeMat-Bulk describes a geometry-optimized ScCuSbOs structure. The functional is GGA-PBE.

POSCAR file:
```
ScCuSbOs
1.0
0.000 3.219 3.219
3.219 0.000 3.219
3.219 3.219 0.000
Sc Cu Sb Os
1 1 1 1
direct
0.000 0.000 0.000
0.750 0.750 0.750
0.500 0.500 0.500
0.250 0.250 0.250
```

## Properties
total moment: 0.00 μB per cell
energy relative to the lowest polymorph listed for this composition: 0.000 eV per atom
density: 10.47 Mg/m³
SG: No. 216
raw total energy: -6.462 eV per atom



Record 3
This record from OQMD via LeMat-Bulk describes a geometry-optimized CuSnSbOs structure. The functional is GGA-PBE.

POSCAR file:
```
CuSnSbOs
1.0
0.000 3.304 3.304
3.304 0.000 3.304
3.304 3.304 0.000
Cu Sn Sb Os
1 1 1 1
direct
0.000 0.000 0.000
0.250 0.250 0.250
0.750 0.750 0.750
0.500 0.500 0.500
```

## Properties
total moment: 0.00 μB per cell
energy relative to the lowest polymorph listed for this composition: 0.000 eV per atom
density: 11.38 Mg/m³
SG: No. 216
raw total energy: -5.334 eV per atom



Record 4
This record from OQMD via LeMat-Bulk describes a geometry-optimized TaCuSbOs structure. The functional is GGA-PBE.

POSCAR file:
```
TaCuSbOs
1.0
0.000 3.216 3.216
3.216 0.000 3.216
3.216 3.216 0.000
Ta Cu Sb Os
1 1 1 1
direct
0.000 0.000 0.000
0.750 0.750 0.750
0.500 0.500 0.500
0.250 0.250 0.250
```

## Properties
total moment: 0.01 μB per cell
energy relative to the lowest polymorph listed for this composition: 0.000 eV per atom
density: 13.89 Mg/m³
SG: No. 216
raw total energy: -7.503 eV per atom